Entry one
{
  "formula": "BeCd2P",
  "functional": "GGA-PBE",
  "state": "relaxed",
  "space_group": "Immm, No. 71",
  "lattice": [[2.7497, 0.0000, 0.0000], [0.0000, 5.4633, 0.0000], [0.0000, 0.0000, 9.6403]],
  "species": ["Be", "Be", "Cd", "Cd", "Cd", "Cd", "P", "P"],
  "frac_coords": [[0.0000, 0.0000, 0.0000], [0.5000, 0.5000, 0.5000], [0.0000, 0.5000, 0.2731], [0.0000, 0.5000, 0.7269], [0.5000, 0.0000, 0.2269], [0.5000, 0.0000, 0.7731], [0.0000, 0.0000, 0.5000], [0.5000, 0.5000, 0.0000]]
}

=====

Entry two
{
  "formula": "BeCd2P",
  "functional": "GGA-PBE",
  "state": "relaxed",
  "space_group": "Cm, No. 8",
  "lattice": [[6.3007, 0.0000, 0.0000], [0.0000, 3.6337, 0.0000], [-2.1036, 0.0000, 7.2663]],
  "species": ["Be", "Be", "Cd", "Cd", "Cd", "Cd", "P", "P"],
  "frac_coords": [[0.0000, 0.0000, 0.0000], [0.5000, 0.5000, 0.0000], [0.0657, 0.5000, 0.6440], [0.3042, 0.5000, 0.3625], [0.5657, 0.0000, 0.6440], [0.8042, 0.0000, 0.3625], [0.1677, 0.5000, 0.0033], [0.6677, 0.0000, 0.0033]]
}

=====

Entry three
{
  "formula": "BeCd2P",
  "functional": "GGA-PBE",
  "state": "relaxed",
  "space_group": "Cmm2, No. 35",
  "lattice": [[3.6410, 0.0000, 0.0000], [0.0000, 4.8438, 0.0000], [0.0000, 0.0000, 8.5484]],
  "species": ["Be", "Be", "Cd", "Cd", "Cd", "Cd", "P", "P"],
  "frac_coords": [[0.0000, 0.0000, 0.0000], [0.5000, 0.5000, 0.0000], [0.0000, 0.0000, 0.4384], [0.0000, 0.5000, 0.7556], [0.5000, 0.0000, 0.7556], [0.5000, 0.5000, 0.4384], [0.0000, 0.5000, 0.1154], [0.5000, 0.0000, 0.1154]]
}

=====

Most stable structure: entry two

=====

Entry one
{
  "formula": "BeCd2P",
  "functional": "GGA-PBE",
  "state": "relaxed",
  "space_group": "Pmmm, No. 47",
  "lattice": [[2.8972, 0.0000, 0.0000], [0.0000, 2.9441, 0.0000], [0.0000, 0.0000, 8.1912]],
  "species": ["Be", "Cd", "Cd", "P"],
  "frac_coords": [[0.0000, 0.0000, 0.0000], [0.5000, 0.5000, 0.2092], [0.5000, 0.5000, 0.7908], [0.5000, 0.0000, 0.5000]]
}

=====

Entry two
{
  "formula": "BeCd2P",
  "functional": "GGA-PBE",
  "state": "relaxed",
  "space_group": "R3m, No. 160",
  "lattice": [[3.6404, 0.0000, 0.0000], [-1.8202, 3.1527, 0.0000], [0.0000, 0.0000, 19.6773]],
  "species": ["Be", "Be", "Be", "Cd", "Cd", "Cd", "Cd", "Cd", "Cd", "P", "P", "P"],
  "frac_coords": [[0.0000, 0.0000, 0.0000], [0.3333, 0.6667, 0.6667], [0.6667, 0.3333, 0.3333], [0.0000, 0.0000, 0.5493], [0.0000, 0.0000, 0.7736], [0.3333, 0.6667, 0.2160], [0.3333, 0.6667, 0.4402], [0.6667, 0.3333, 0.1069], [0.6667, 0.3333, 0.8826], [0.0000, 0.0000, 0.3249], [0.3333, 0.6667, 0.9916], [0.6667, 0.3333, 0.6583]]
}

=====

Entry three
{
  "formula": "BeCd2P",
  "functional": "GGA-PBE",
  "state": "relaxed",
  "space_group": "P4/mmm, No. 123",
  "lattice": [[2.9149, 0.0000, 0.0000], [0.0000, 2.9149, 0.0000], [0.0000, 0.0000, 8.1808]],
  "species": ["Be", "Cd", "Cd", "P"],
  "frac_coords": [[0.0000, 0.0000, 0.0000], [0.5000, 0.5000, 0.2157], [0.5000, 0.5000, 0.7843], [0.0000, 0.0000, 0.5000]]
}

=====

Most stable structure: entry two

=====

Entry one
{
  "formula": "Be2CdP",
  "functional": "GGA-PBE",
  "state": "relaxed",
  "space_group": "Pmm2, No. 25",
  "lattice": [[2.7303, 0.0000, 0.0000], [0.0000, 3.3671, 0.0000], [0.0000, 0.0000, 6.3411]],
  "species": ["Be", "Be", "Cd", "P"],
  "frac_coords": [[0.0000, 0.0000, 0.0000], [0.5000, 0.5000, 0.2087], [0.0000, 0.0000, 0.4429], [0.5000, 0.5000, 0.8692]]
}

=====

Entry two
{
  "formula": "Be2CdP",
  "functional": "GGA-PBE",
  "state": "relaxed",
  "space_group": "F-43m, No. 216",
  "lattice": [[6.1995, 0.0000, 0.0000], [0.0000, 6.1995, 0.0000], [0.0000, 0.0000, 6.1995]],
  "species": ["Be", "Be", "Be", "Be", "Be", "Be", "Be", "Be", "Cd", "Cd", "Cd", "Cd", "P", "P", "P", "P"],
  "frac_coords": [[0.0000, 0.0000, 0.0000], [0.0000, 0.5000, 0.5000], [0.2500, 0.2500, 0.2500], [0.2500, 0.7500, 0.7500], [0.5000, 0.0000, 0.5000], [0.5000, 0.5000, 0.0000], [0.7500, 0.2500, 0.7500], [0.7500, 0.7500, 0.2500], [0.2500, 0.2500, 0.7500], [0.2500, 0.7500, 0.2500], [0.7500, 0.2500, 0.2500], [0.7500, 0.7500, 0.7500], [0.0000, 0.0000, 0.5000], [0.0000, 0.5000, 0.0000], [0.5000, 0.0000, 0.0000], [0.5000, 0.5000, 0.5000]]
}

=====

Most stable structure: entry one